Material: Pr2TmAg2
Method: DFT, PBE
State: optimized geometry

Properties
Energy of formation   -0.1376 eV per atom
Volume   28.63 Å³ per atom
Mass density   7.7 g/cm3
N(E_F)   1.5241 states/eV per atom
E_tot   -20.421 eV for the cell shown
M_tot   0.000 μB per atom

Lattice parameters (Å, degrees): 4.019 6.466 6.466 66.54 71.89 71.89
Sites, in units of the cell vectors:
Pr1 0.207 0.293 0.293
Pr2 0.793 0.707 0.707
Tm1 0.000 0.000 0.000
Ag1 0.500 0.296 0.704
Ag2 0.500 0.704 0.296



Material: Pr2TmAg
Method: DFT, PBE
State: optimized geometry

Properties
Energy of formation   -0.0853 eV per atom
Volume   30.40 Å³ per atom
Mass density   7.6 g/cm3
N(E_F)   1.7630 states/eV per atom
ΔE to the lowest computed polymorph   0 meV/atom
E_tot   -17.223 eV for the cell shown
M_tot   0.001 μB per atom

Lattice parameters (Å, degrees): 3.740 3.740 8.694 90.00 90.00 90.00
Sites, in units of the cell vectors:
Pr1 0.000 0.000 0.778
Pr2 0.000 0.000 0.222
Tm1 0.500 0.500 0.500
Ag1 0.500 0.500 0.000



Material: Pr3Tm4Ag
Method: DFT, PBE
State: optimized geometry

Properties
Energy of formation   -0.0589 eV per atom
Volume   30.65 Å³ per atom
Mass density   8.2 g/cm3
N(E_F)   1.2464 states/eV per atom
E_tot   -35.547 eV for the cell shown
M_tot   0.000 μB per atom

Lattice parameters (Å, degrees): 3.600 3.600 18.921 90.00 90.00 90.00
Sites, in units of the cell vectors:
Pr1 0.500 0.500 0.231
Pr2 0.500 0.500 0.500
Pr3 0.500 0.500 0.769
Tm1 0.000 0.000 0.905
Tm2 0.000 0.000 0.095
Tm3 0.000 0.000 0.366
Tm4 0.000 0.000 0.634
Ag1 0.500 0.500 0.000